A relaxed AcPuCdSb crystal. Source: the Alexandria database, functional GGA-PBE.

Structure (CIF):
```
data_AcPuCdSb
_cell_length_a 7.891
_cell_length_b 7.891
_cell_length_c 7.891
_cell_angle_alpha 90.00
_cell_angle_beta 90.00
_cell_angle_gamma 90.00
_symmetry_space_group_name_H-M 'F -4 3 m'
_symmetry_Int_Tables_number 216
_symmetry_space_group_name_Hall 'F -4 2 3'
loop_
_atom_site_label
_atom_site_type_symbol
_atom_site_fract_x
_atom_site_fract_y
_atom_site_fract_z
Ac1 Ac 0.000 0.000 0.000
Pu1 Pu 0.000 0.000 0.500
Cd1 Cd 0.250 0.250 0.250
Sb1 Sb 0.250 0.250 0.750
```

Properties
- Total moment: 27.5 Bohr magnetons per cell
- Raw formation energy: -36.1 kJ/mol of atoms
- Theoretical density: 9.53 g cm⁻³
- Raw total energy: -6.244 eV/atom